Hf3InRe, relaxed, DFT PBE; space-group type = Pm-3m; total DFT energy (no corrections) = -9.096 eV/atom; ΔH_f (0 K) = -87 meV/atom; DOS(E_F) = 1.018 states/eV/atom
1.0
6.749 0.000 0.000
0.000 6.749 0.000
0.000 0.000 6.749
Hf In Re
9 3 3
direct
0.000 0.000 0.000
0.266 0.266 0.266
0.266 0.266 0.734
0.266 0.734 0.266
0.266 0.734 0.734
0.734 0.266 0.266
0.734 0.266 0.734
0.734 0.734 0.266
0.734 0.734 0.734
0.000 0.000 0.500
0.000 0.500 0.000
0.500 0.000 0.000
0.000 0.500 0.500
0.500 0.000 0.500
0.500 0.500 0.000